# 1
Here is an optimized crystal structure of HoGaNi2H from the Alexandria database. Energies are from PBE.

Magnetic moment, μB/cell: 0.00
E, hartree per atom: -0.18555
SG: No. 63

Structure (POSCAR):
```
HoGaNi2H
1.0
3.6732 0.0000 0.0000
-1.8366 5.1427 0.0000
0.0000 0.0000 7.0171
Ho Ga Ni H
2 2 4 2
direct
0.4432 0.8864 0.7500
0.5568 0.1136 0.2500
0.7249 0.4499 0.7500
0.2751 0.5501 0.2500
0.1560 0.3119 0.9446
0.8440 0.6881 0.0554
0.1560 0.3119 0.5554
0.8440 0.6881 0.4446
0.0000 0.0000 0.0000
0.0000 0.0000 0.5000
```

# 2
Here is an optimized crystal structure of HoLuBe4 from the Alexandria database. Energies are from PBE.

Magnetic moment, μB/cell: 0.00
E, hartree per atom: -0.14483
SG: No. 216

Structure (POSCAR):
```
HoLuBe4
1.0
-3.4638 0.8299 3.4842
-0.7316 -3.3343 3.6296
1.3697 1.0617 4.6715
Be Lu Ho
4 1 1
direct
0.6248 0.6248 0.1255
0.6248 0.1255 0.6248
0.6248 0.6248 0.6248
0.1255 0.6248 0.6248
0.0000 0.0000 0.0000
0.2500 0.2500 0.2500
```

Please write out number 1 again, unchanged.
Here is an optimized crystal structure of HoGaNi2H from the Alexandria database. Energies are from PBE.

Magnetic moment, μB/cell: 0.00
E, hartree per atom: -0.18555
SG: No. 63

Structure (POSCAR):
```
HoGaNi2H
1.0
3.6732 0.0000 0.0000
-1.8366 5.1427 0.0000
0.0000 0.0000 7.0171
Ho Ga Ni H
2 2 4 2
direct
0.4432 0.8864 0.7500
0.5568 0.1136 0.2500
0.7249 0.4499 0.7500
0.2751 0.5501 0.2500
0.1560 0.3119 0.9446
0.8440 0.6881 0.0554
0.1560 0.3119 0.5554
0.8440 0.6881 0.4446
0.0000 0.0000 0.0000
0.0000 0.0000 0.5000
```